Material: ScAsPBr2
Method: DFT, GGA-PBEsol
State: optimized geometry

Computed properties:
Uncorrected formation energy in eV per atom: -0.02

Cell lengths 4.975, 4.975, 5.598 Å; angles 90.00, 90.00, 90.00 degrees
Space group P4/mmm (No. 123)
Unique sites:
1 Sc 0.000 0.000 0.000 (multiplicity 1)
2 As 0.000 0.000 0.500 (multiplicity 1)
3 P 0.500 0.500 0.500 (multiplicity 1)
4 Br 0.000 0.500 0.000 (multiplicity 2)

Material: Y3TlAg
Method: DFT, GGA-PBEsol
State: optimized geometry

Computed properties:
DFT formation energy in eV/atom: 0.5288

Cell lengths 5.613, 5.613, 5.613 Å; angles 90.00, 90.00, 90.00 degrees
Space group Pm-3m (No. 221)
Unique sites:
1 Y 0.000 0.000 0.500 (multiplicity 3)
2 Tl 0.000 0.000 0.000 (multiplicity 1)
3 Ag 0.500 0.500 0.500 (multiplicity 1)

Material: KSc2Cd
Method: DFT, GGA-PBEsol
State: optimized geometry

Computed properties:
DFT formation energy in eV/atom: 0.5854

Cell lengths 3.2064, 3.2064, 38.1207 Å; angles 90.00, 90.00, 120.00 degrees
Space group R-3m (No. 166, hexagonal axes)
Unique sites:
1 K 0.0000 0.0000 0.0000 (multiplicity 3)
2 Sc 0.0000 0.0000 0.4215 (multiplicity 6)
3 Cd 0.0000 0.0000 0.5000 (multiplicity 3)

Material: AsIr2Se
Method: DFT, GGA-PBEsol
State: optimized geometry

Computed properties:
Uncorrected formation energy in eV per atom: 0.38

Cell lengths 6.256, 6.256, 6.256 Å; angles 90.00, 90.00, 90.00 degrees
Space group Fm-3m (No. 225)
Unique sites:
1 As 0.000 0.000 0.000 (multiplicity 4)
2 Ir 0.250 0.250 0.250 (multiplicity 8)
3 Se 0.000 0.000 0.500 (multiplicity 4)

Material: KMgPbAu2
Method: DFT, GGA-PBEsol
State: optimized geometry

Computed properties:
DFT formation energy in eV/atom: 0.9667

Cell lengths 5.405, 5.405, 5.368 Å; angles 90.00, 90.00, 90.00 degrees
Space group P4/mmm (No. 123)
Unique sites:
1 K 0.000 0.000 0.000 (multiplicity 1)
2 Mg 0.000 0.000 0.500 (multiplicity 1)
3 Pb 0.500 0.500 0.500 (multiplicity 1)
4 Au 0.000 0.500 0.000 (multiplicity 2)

Material: TaIn2Os
Method: DFT, GGA-PBEsol
State: optimized geometry

Computed properties:
DFT formation energy in eV/atom: 0.5018

Cell lengths 3.080, 5.039, 9.361 Å; angles 90.00, 90.00, 90.00 degrees
Space group Cmmm (No. 65)
Unique sites:
1 Ta 0.000 0.000 0.000 (multiplicity 2)
2 In 0.000 0.500 0.262 (multiplicity 4)
3 Os 0.000 0.000 0.500 (multiplicity 2)

Material: CdAgIr
Method: DFT, GGA-PBEsol
State: optimized geometry

Computed properties:
DFT formation energy in eV/atom: 0.6991

Cell lengths 6.185, 6.185, 6.185 Å; angles 90.00, 90.00, 90.00 degrees
Space group F-43m (No. 216)
Unique sites:
1 Cd 0.000 0.000 0.000 (multiplicity 4)
2 Ag 0.000 0.000 0.500 (multiplicity 4)
3 Ir 0.250 0.250 0.750 (multiplicity 4)

Material: Li3Mo
Method: DFT, GGA-PBEsol
State: optimized geometry

Computed properties:
DFT formation energy in eV/atom: 0.9130

Cell lengths 5.056, 5.056, 5.056 Å; angles 90.00, 90.00, 90.00 degrees
Space group Pm-3n (No. 223)
Unique sites:
1 Li 0.000 0.250 0.500 (multiplicity 6)
2 Mo 0.000 0.000 0.000 (multiplicity 2)

Material: Sb3HIr
Method: DFT, GGA-PBEsol
State: optimized geometry

Computed properties:
Total energy in eV/atom: -4.384

Cell lengths 5.132, 5.132, 5.132 Å; angles 90.00, 90.00, 90.00 degrees
Space group Pm-3m (No. 221)
Unique sites:
1 Sb 0.000 0.000 0.500 (multiplicity 3)
2 H 0.500 0.500 0.500 (multiplicity 1)
3 Ir 0.000 0.000 0.000 (multiplicity 1)

Material: ZrSO
Method: DFT, GGA-PBEsol
State: optimized geometry

Computed properties:
Uncorrected formation energy in eV per atom: -2.57

Cell lengths 5.679, 5.679, 5.679 Å; angles 90.00, 90.00, 90.00 degrees
Space group P2_13 (No. 198)
Unique sites:
1 Zr 0.071 0.071 0.071 (multiplicity 4)
2 S 0.167 0.667 0.833 (multiplicity 4)
3 O 0.156 0.844 0.344 (multiplicity 4)

Material: ReSBrN2
Method: DFT, GGA-PBEsol
State: optimized geometry

Computed properties:
Uncorrected formation energy in eV per atom: 0.51

Cell lengths 3.817, 3.817, 5.109 Å; angles 90.00, 90.00, 90.00 degrees
Space group P4/mmm (No. 123)
Unique sites:
1 Re 0.000 0.000 0.000 (multiplicity 1)
2 S 0.000 0.000 0.500 (multiplicity 1)
3 Br 0.500 0.500 0.500 (multiplicity 1)
4 N 0.000 0.500 0.000 (multiplicity 2)

Material: NaBeAs2Br
Method: DFT, GGA-PBEsol
State: optimized geometry

Computed properties:
Uncorrected formation energy in eV per atom: 1.25

Cell lengths 5.028, 5.028, 5.029 Å; angles 90.00, 90.00, 90.00 degrees
Space group P4/mmm (No. 123)
Unique sites:
1 Na 0.000 0.000 0.000 (multiplicity 1)
2 Be 0.500 0.500 0.500 (multiplicity 1)
3 As 0.000 0.500 0.000 (multiplicity 2)
4 Br 0.000 0.000 0.500 (multiplicity 1)

| no. | total magnetization (μB per formula unit) | N(E_F) (states/eV/cell) |
| --- | --- | --- |
| 1 | 1.03 | 0.8 |
| 2 | 1.27 | 7.6 |
| 3 | 0.83 | 20.6 |
| 4 | 0.00 | 20.2 |
| 5 | 0.00 | 1.8 |
| 6 | 0.00 | 6.7 |
| 7 | 0.00 | 13.8 |
| 8 | 3.09 | 2.9 |
| 9 | 0.00 | 3.5 |
| 10 | 0.00 | 0.0 |
| 11 | 0.00 | 2.8 |
| 12 | 0.12 | 5.6 |